Entry 1:
AcNdPb2 | GGA-PBE | optimized geometry

a b c (Å): 4.6460 6.6215 9.0371
angles (deg): 90.00 90.00 90.00
Closest atoms and distances in Å follow each position.
Atoms (fractional coordinates):
Pb (0.0000, 0.5988, 0.5391)  2 Pb 3.21, 1 Nd 3.41, 4 Ac 3.41-3.42
Nd (0.0000, 0.8754, 0.1861)  7 Pb 3.39-3.73
Ac (0.5000, 0.3764, 0.3151)  5 Pb 3.32-3.42
Ac (0.5000, 0.6236, 0.8151)  5 Pb 3.32-3.42
Nd (0.0000, 0.1246, 0.6861)  7 Pb 3.39-3.73
Pb (0.5000, 0.9148, 0.4597)  2 Pb 3.21, 1 Ac 3.32, 4 Nd 3.39-3.40
Pb (0.0000, 0.4012, 0.0391)  2 Pb 3.21, 1 Nd 3.41, 4 Ac 3.41-3.42
Pb (0.5000, 0.0852, 0.9597)  2 Pb 3.21, 1 Ac 3.32, 4 Nd 3.39-3.40

Output
symmetry	Pmc2_1
D(E_F)	0.838	states/eV/atom


Entry 2:
AcNd2Pb | GGA-PBE | optimized geometry

a b c (Å): 3.7931 3.7931 11.7184
angles (deg): 80.69 80.69 60.00
Closest atoms and distances in Å follow each position.
Atoms (fractional coordinates):
Pb (0.6664, 0.6664, 0.0008)  6 Nd 3.42-3.44, 6 Pb 3.79
Nd (0.2570, 0.2570, 0.2292)  3 Pb 3.42, 6 Nd 3.79, 3 Ac 3.81
Nd (0.0767, 0.0767, 0.7699)  3 Pb 3.44, 6 Nd 3.79, 3 Ac 3.80
Ac (0.5000, 0.5000, 0.5001)  6 Ac 3.79, 6 Nd 3.80-3.81

Output
symmetry	R3m
D(E_F)	1.231	states/eV/atom


Entry 3:
AcNd3Pb3 | GGA-PBE | optimized geometry

a b c (Å): 5.6451 9.7948 9.7948
angles (deg): 120.00 90.00 90.00
Closest atoms and distances in Å follow each position.
Atoms (fractional coordinates):
Nd (0.7500, 0.9994, 0.7609)  4 Pb 3.17-3.49
Nd (0.2500, 0.0006, 0.2391)  4 Pb 3.17-3.49
Ac (0.7500, 0.3333, 0.6667)  9 Pb 3.57-3.68, 3 Nd 3.82
Ac (0.2500, 0.6667, 0.3333)  9 Pb 3.57-3.68, 3 Nd 3.82
Pb (0.2500, 0.3736, 0.4480)  4 Nd 3.17-3.49, 2 Pb 3.55
Nd (0.7500, 0.2391, 0.2385)  4 Pb 3.17-3.49
Pb (0.2500, 0.5520, 0.9256)  4 Nd 3.17-3.49, 2 Pb 3.55
Pb (0.7500, 0.4480, 0.0744)  4 Nd 3.17-3.49, 2 Pb 3.55
Pb (0.2500, 0.0744, 0.6264)  4 Nd 3.17-3.49, 2 Pb 3.55
Nd (0.2500, 0.2385, 0.9994)  4 Pb 3.17-3.49
Nd (0.7500, 0.7615, 0.0006)  4 Pb 3.17-3.49
Nd (0.2500, 0.7609, 0.7615)  4 Pb 3.17-3.49
Pb (0.7500, 0.9256, 0.3736)  4 Nd 3.17-3.49, 2 Pb 3.55
Pb (0.7500, 0.6264, 0.5520)  4 Nd 3.17-3.49, 2 Pb 3.55

Output
symmetry	P6_3/m
D(E_F)	0.981	states/eV/atom


The following energy of formation values (in eV per atom) correspond, in order, to the records above: -0.5186 -0.1314 -0.3996.